{
  "formula": "Ta2MoIr5Rh",
  "functional": "PBE",
  "state": "optimized geometry",
  "e_form_mev_per_atom": 369,
  "dft_energy_ev_per_cell": -165.7,
  "space_group": "I4/mcm, No. 140",
  "lattice_angstrom": [[-3.698, 3.698, 5.526], [3.698, -3.698, 5.526], [3.698, 3.698, -5.526]],
  "species": ["Ta", "Ta", "Ta", "Ta", "Mo", "Mo", "Ir", "Ir", "Ir", "Ir", "Ir", "Ir", "Ir", "Ir", "Ir", "Ir", "Rh", "Rh"],
  "fractional_positions": [[0.119, 0.619, 0.739], [0.381, 0.119, 0.500], [0.619, 0.881, 0.500], [0.881, 0.381, 0.261], [0.250, 0.250, 0.000], [0.750, 0.750, 0.000], [0.000, 0.000, 0.000], [0.069, 0.157, 0.500], [0.157, 0.657, 0.088], [0.343, 0.431, 0.500], [0.431, 0.931, 0.088], [0.500, 0.500, 0.000], [0.569, 0.069, 0.912], [0.657, 0.569, 0.500], [0.843, 0.343, 0.912], [0.931, 0.843, 0.500], [0.250, 0.750, 0.500], [0.750, 0.250, 0.500]]
}

---

{
  "formula": "Ti5MoIr2Rh2",
  "functional": "PBE",
  "state": "optimized geometry",
  "e_form_mev_per_atom": -312,
  "dft_energy_ev_per_cell": -171.7,
  "space_group": "P4/mbm, No. 127",
  "lattice_angstrom": [[10.561, 0.000, 0.000], [0.000, 10.561, 0.000], [0.000, 0.000, 2.973]],
  "species": ["Ti", "Ti", "Ti", "Ti", "Ti", "Ti", "Ti", "Ti", "Ti", "Ti", "Mo", "Mo", "Ir", "Ir", "Ir", "Ir", "Rh", "Rh", "Rh", "Rh"],
  "fractional_positions": [[0.000, 0.500, 0.000], [0.148, 0.149, 0.000], [0.149, 0.852, 0.000], [0.351, 0.352, 0.000], [0.352, 0.649, 0.000], [0.500, 0.000, 0.000], [0.648, 0.351, 0.000], [0.649, 0.648, 0.000], [0.851, 0.148, 0.000], [0.852, 0.851, 0.000], [0.000, 0.000, 0.500], [0.500, 0.500, 0.500], [0.149, 0.351, 0.500], [0.351, 0.851, 0.500], [0.649, 0.149, 0.500], [0.851, 0.649, 0.500], [0.148, 0.648, 0.500], [0.352, 0.148, 0.500], [0.648, 0.852, 0.500], [0.852, 0.352, 0.500]]
}

---

{
  "formula": "MoIr5RhW2",
  "functional": "PBE",
  "state": "optimized geometry",
  "e_form_mev_per_atom": 552,
  "dft_energy_ev_per_cell": -166.9,
  "space_group": "I4/mcm, No. 140",
  "lattice_angstrom": [[-3.660, 3.660, 5.517], [3.660, -3.660, 5.517], [3.660, 3.660, -5.517]],
  "species": ["Mo", "Mo", "Ir", "Ir", "Ir", "Ir", "Ir", "Ir", "Ir", "Ir", "Ir", "Ir", "Rh", "Rh", "W", "W", "W", "W"],
  "fractional_positions": [[0.250, 0.250, 0.000], [0.750, 0.750, 0.000], [0.000, 0.000, 0.000], [0.070, 0.570, 0.912], [0.158, 0.070, 0.500], [0.342, 0.842, 0.912], [0.430, 0.342, 0.500], [0.500, 0.500, 0.000], [0.570, 0.658, 0.500], [0.658, 0.158, 0.088], [0.842, 0.930, 0.500], [0.930, 0.430, 0.088], [0.250, 0.750, 0.500], [0.750, 0.250, 0.500], [0.116, 0.384, 0.500], [0.384, 0.884, 0.268], [0.616, 0.116, 0.732], [0.884, 0.616, 0.500]]
}

---

{
  "formula": "Mo2Ir5RhW",
  "functional": "PBE",
  "state": "optimized geometry",
  "e_form_mev_per_atom": 503,
  "dft_energy_ev_per_cell": -163.5,
  "space_group": "I4/mcm, No. 140",
  "lattice_angstrom": [[-3.639, 3.639, 5.510], [3.639, -3.639, 5.510], [3.639, 3.639, -5.510]],
  "species": ["Mo", "Mo", "Mo", "Mo", "Ir", "Ir", "Ir", "Ir", "Ir", "Ir", "Ir", "Ir", "Ir", "Ir", "Rh", "Rh", "W", "W"],
  "fractional_positions": [[0.114, 0.614, 0.728], [0.386, 0.114, 0.500], [0.614, 0.886, 0.500], [0.886, 0.386, 0.272], [0.000, 0.000, 0.000], [0.072, 0.156, 0.500], [0.156, 0.656, 0.085], [0.344, 0.428, 0.500], [0.428, 0.928, 0.085], [0.500, 0.500, 0.000], [0.572, 0.072, 0.915], [0.656, 0.572, 0.500], [0.844, 0.344, 0.915], [0.928, 0.844, 0.500], [0.250, 0.750, 0.500], [0.750, 0.250, 0.500], [0.250, 0.250, 0.000], [0.750, 0.750, 0.000]]
}